Record 1
# PBE CsGe3W, relaxed
data_CsGe3W
_chemical_formula_sum 'Cs1 Ge3 W1'
_cell_length_a 5.354
_cell_length_b 5.354
_cell_length_c 5.354
_cell_angle_alpha 90.00
_cell_angle_beta 90.00
_cell_angle_gamma 90.00
_space_group_name_H-M_alt 'P m -3 m'
_space_group_IT_number 221
_space_group_name_Hall '-P 4 2 3'
loop_
_atom_site_label
_atom_site_type_symbol
_atom_site_fract_x
_atom_site_fract_y
_atom_site_fract_z
Cs1 Cs 0.000 0.000 0.000
Ge1 Ge 0.000 0.000 0.500
W1 W 0.500 0.500 0.500
# crystal system: cubic
# magnetization: 0.0077 μB/atom
# formation energy from the elements: 3052.4 meV/atom


Record 2
# PBE Cs3RbTh2S6, relaxed
data_Cs3RbTh2S6
_chemical_formula_sum 'Cs6 Rb2 Th4 S12'
_cell_length_a 20.547
_cell_length_b 4.338
_cell_length_c 9.693
_cell_angle_alpha 90.00
_cell_angle_beta 107.14
_cell_angle_gamma 90.00
_space_group_name_H-M_alt 'C 1 2/m 1'
_space_group_IT_number 12
loop_
_space_group_symop_operation_xyz
'x,y,z'
'-x,-y,-z'
'-x,y,-z'
'x,-y,z'
'x+1/2,y+1/2,z'
'-x+1/2,-y+1/2,-z'
'-x+1/2,y+1/2,-z'
'x+1/2,-y+1/2,z'
loop_
_atom_site_label
_atom_site_type_symbol
_atom_site_fract_x
_atom_site_fract_y
_atom_site_fract_z
Cs1 Cs 0.000 0.000 0.000
Cs2 Cs 0.154 0.500 0.333
Rb1 Rb 0.000 0.000 0.500
Th1 Th 0.169 0.500 0.834
S1 S 0.035 0.500 0.765
S2 S 0.176 0.000 0.651
S3 S 0.183 0.000 0.040
# crystal system: monoclinic
# magnetization: 0.0000 μB/atom
# energy relative to the elements, uncorrected: -1.645 eV/atom


Record 3
# PBE ZrCdPS2, relaxed
data_ZrCdPS2
_chemical_formula_sum 'Zr1 Cd1 P1 S2'
_cell_length_a 4.822
_cell_length_b 4.822
_cell_length_c 4.879
_cell_angle_alpha 90.00
_cell_angle_beta 90.00
_cell_angle_gamma 90.00
_space_group_name_H-M_alt 'P 4/m m m'
_space_group_IT_number 123
_space_group_name_Hall '-P 4 2'
loop_
_atom_site_label
_atom_site_type_symbol
_atom_site_fract_x
_atom_site_fract_y
_atom_site_fract_z
Zr1 Zr 0.000 0.000 0.000
Cd1 Cd 0.500 0.500 0.500
P1 P 0.500 0.500 0.000
S1 S 0.000 0.500 0.500
# crystal system: tetragonal
# magnetization: 0.0000 μB/atom
# energy relative to the elements, uncorrected: 0.577 eV/atom


Record 4
# PBE Rb2Y2PuS6, relaxed
data_Rb2Y2PuS6
_chemical_formula_sum 'Rb4 Y4 Pu2 S12'
_cell_length_a 6.978
_cell_length_b 12.061
_cell_length_c 8.215
_cell_angle_alpha 90.00
_cell_angle_beta 106.75
_cell_angle_gamma 90.00
_space_group_name_H-M_alt 'C 1 2/m 1'
_space_group_IT_number 12
loop_
_space_group_symop_operation_xyz
'x,y,z'
'-x,-y,-z'
'-x,y,-z'
'x,-y,z'
'x+1/2,y+1/2,z'
'-x+1/2,-y+1/2,-z'
'-x+1/2,y+1/2,-z'
'x+1/2,-y+1/2,z'
loop_
_atom_site_label
_atom_site_type_symbol
_atom_site_fract_x
_atom_site_fract_y
_atom_site_fract_z
Rb1 Rb 0.000 0.169 0.000
Y1 Y 0.000 0.334 0.500
Pu1 Pu 0.000 0.000 0.500
S1 S 0.226 0.164 0.686
S2 S 0.238 0.500 0.686
# crystal system: monoclinic
# magnetization: 0.3636 μB/atom
# energy relative to the elements, uncorrected: -1.743 eV/atom


Record 5
# PBE KMnHgN2, relaxed
data_KMnHgN2
_chemical_formula_sum 'K1 Mn1 Hg1 N2'
_cell_length_a 4.495
_cell_length_b 4.495
_cell_length_c 5.318
_cell_angle_alpha 90.00
_cell_angle_beta 90.00
_cell_angle_gamma 90.00
_space_group_name_H-M_alt 'P 4/m m m'
_space_group_IT_number 123
_space_group_name_Hall '-P 4 2'
loop_
_atom_site_label
_atom_site_type_symbol
_atom_site_fract_x
_atom_site_fract_y
_atom_site_fract_z
K1 K 0.000 0.000 0.000
Mn1 Mn 0.500 0.500 0.000
Hg1 Hg 0.000 0.000 0.500
N1 N 0.000 0.500 0.500
# crystal system: tetragonal
# magnetization: 1.3563 μB/atom
# energy relative to the elements, uncorrected: 2.164 eV/atom


Record 6
# PBE Ac2Be3Si4Ni, relaxed
data_Ac2Be3Si4Ni
_chemical_formula_sum 'Ac2 Be3 Si4 Ni1'
_cell_length_a 4.143
_cell_length_b 4.143
_cell_length_c 9.933
_cell_angle_alpha 90.00
_cell_angle_beta 90.00
_cell_angle_gamma 90.00
_space_group_name_H-M_alt 'P -4 m 2'
_space_group_IT_number 115
loop_
_space_group_symop_operation_xyz
'x,y,z'
'y,-x,-z'
'-x,-y,z'
'-y,x,-z'
'-x,y,z'
'-y,-x,-z'
'x,-y,z'
'y,x,-z'
loop_
_atom_site_label
_atom_site_type_symbol
_atom_site_fract_x
_atom_site_fract_y
_atom_site_fract_z
Ac1 Ac 0.000 0.500 0.246
Be1 Be 0.000 0.000 0.000
Be2 Be 0.000 0.500 0.625
Si1 Si 0.000 0.000 0.500
Si2 Si 0.000 0.500 0.880
Si3 Si 0.500 0.500 0.500
Ni1 Ni 0.500 0.500 0.000
# crystal system: tetragonal
# magnetization: 0.0000 μB/atom
# energy relative to the elements, uncorrected: -0.385 eV/atom


Record 7
# PBE Ac6TlSb2Te3, relaxed
data_Ac6TlSb2Te3
_chemical_formula_sum 'Ac12 Tl2 Sb4 Te6'
_cell_length_a 20.870
_cell_length_b 4.749
_cell_length_c 9.641
_cell_angle_alpha 90.00
_cell_angle_beta 102.97
_cell_angle_gamma 90.00
_space_group_name_H-M_alt 'C 1 2/m 1'
_space_group_IT_number 12
loop_
_space_group_symop_operation_xyz
'x,y,z'
'-x,-y,-z'
'-x,y,-z'
'x,-y,z'
'x+1/2,y+1/2,z'
'-x+1/2,-y+1/2,-z'
'-x+1/2,y+1/2,-z'
'x+1/2,-y+1/2,z'
loop_
_atom_site_label
_atom_site_type_symbol
_atom_site_fract_x
_atom_site_fract_y
_atom_site_fract_z
Ac1 Ac 0.002 0.000 0.244
Ac2 Ac 0.163 0.500 0.087
Ac3 Ac 0.169 0.500 0.578
Tl1 Tl 0.000 0.500 0.000
Sb1 Sb 0.167 0.000 0.335
Te1 Te 0.000 0.500 0.500
Te2 Te 0.169 0.000 0.832
# crystal system: monoclinic
# magnetization: 0.0000 μB/atom
# energy relative to the elements, uncorrected: -1.233 eV/atom


Record 8
# PBE Ti3HO, relaxed
data_Ti3HO
_chemical_formula_sum 'Ti3 H1 O1'
_cell_length_a 4.034
_cell_length_b 4.034
_cell_length_c 4.034
_cell_angle_alpha 90.00
_cell_angle_beta 90.00
_cell_angle_gamma 90.00
_space_group_name_H-M_alt 'P m -3 m'
_space_group_IT_number 221
_space_group_name_Hall '-P 4 2 3'
loop_
_atom_site_label
_atom_site_type_symbol
_atom_site_fract_x
_atom_site_fract_y
_atom_site_fract_z
Ti1 Ti 0.000 0.000 0.500
H1 H 0.500 0.500 0.500
O1 O 0.000 0.000 0.000
# uncorrected energy: -6.8727 eV per atom
# crystal system: cubic
# magnetization: 0.0000 μB/atom


no.,N(E_F) (states/eV per cell)
1,12.7
2,0.0
3,2.8
4,15.2
5,2.3
6,3.5
7,7.4
8,4.2